# NaFeCoO3

A relaxed NaFeCoO3 crystal (PBE with a Hubbard U, Alexandria).

The structure in POSCAR format:
```
NaFeCoO3
1.0
2.715 -5.272 0.000
2.715 5.272 0.000
0.000 0.000 5.412
Na Fe Co O
2 2 2 6
Direct
0.248 0.752 0.750
0.752 0.248 0.250
0.434 0.566 0.250
0.566 0.434 0.750
0.070 0.930 0.250
0.930 0.070 0.750
0.257 0.257 0.000
0.257 0.257 0.500
0.257 0.743 0.250
0.743 0.257 0.750
0.743 0.743 0.000
0.743 0.743 0.500
```

**Space-group type**: Cmcm, No. 63
**VASP energy**: -5.767 eV/atom